## LiMn2GaO4 (GGA+U)

Data for crystalline LiMn2GaO4 at its relaxed geometry.

Results
space-group type: I-4m2 (119)
DOS(E_F): 0.522 states/eV per cell
E_tot: -53.4 eV/cell

abc: 4.3877 4.3877 5.3028
angles: 114.44 114.44 89.99
Element x y z (fractional)
1 Mn 0.0000 0.0000 0.0000
2 Mn 0.2500 0.7500 0.5000
3 Li 0.5000 0.5000 0.0000
4 Ga 0.7500 0.2500 0.5000
5 O 0.7467 0.7467 0.4935
6 O 0.2533 0.2533 0.5065
7 O 0.9734 0.4734 0.9468
8 O 0.5266 0.0266 0.0532